# HfCuGe2, single point on PBEsol structure, DFT meta-GGA SCAN
# Formation enthalpy at 0 K   -1.845 eV/f.u.
# Size of the total moment   0.0 μB/f.u.
data_HfCuGe2
_cell_length_a 3.753
_cell_length_b 3.753
_cell_length_c 8.946
_cell_angle_alpha 90.00
_cell_angle_beta 90.00
_cell_angle_gamma 90.00
_space_group_name_H-M_alt 'P 4/n m m'
_space_group_IT_number 129
loop_
_space_group_symop_operation_xyz
'x,y,z'
'-x,-y,-z'
'-y+1/2,x,z'
'y+1/2,-x,-z'
'-x+1/2,-y+1/2,z'
'x+1/2,y+1/2,-z'
'y,-x+1/2,z'
'-y,x+1/2,-z'
'x+1/2,-y,-z'
'-x+1/2,y,z'
'-y,-x,-z'
'y,x,z'
'-x,y+1/2,-z'
'x,-y+1/2,z'
'y+1/2,x+1/2,-z'
'-y+1/2,-x+1/2,z'
loop_
_atom_site_label
_atom_site_fract_x
_atom_site_fract_y
_atom_site_fract_z
_atom_site_occupancy
Hf1 0.250 0.250 0.238 1
Cu1 0.250 0.750 0.500 1
Ge1 0.250 0.250 0.677 1
Ge2 0.250 0.750 0.000 1